1.
Tb5Tm5In2: optimized geometry, PBE-GGA.

Cell and atoms, written as extended XYZ:
```
12
Lattice="5.981 -2.700 0.000 5.981 2.700 0.000 -3.763 0.000 10.973" Properties=species:S:1:pos:R:3 pbc="T T T"
Tb 0.000 0.000 0.000
Tb -2.123 0.000 7.994
Tb 0.367 0.000 5.884
Tb 7.833 0.000 5.089
Tb 10.322 0.000 2.980
Tm 2.062 0.000 2.725
Tm 0.139 0.000 10.695
Tm 4.100 0.000 5.487
Tm 8.061 0.000 0.278
Tm 6.138 0.000 8.248
In 2.339 0.000 8.475
In 5.860 0.000 2.498
```

- DOS at the Fermi energy: 1.34 states/eV per atom
- E_form: -0.0980 eV/atom

***

2.
NaLi2TiF8: optimized geometry, PBE-GGA.

Cell and atoms, written as extended XYZ:
```
12
Lattice="4.665 0.000 0.000 0.000 6.616 0.000 -0.018 0.000 4.779" Properties=species:S:1:pos:R:3 pbc="T T T"
Na 0.000 0.000 0.000
Li 2.324 1.825 2.389
Li 2.324 4.791 2.389
Ti 0.000 3.308 0.000
F 0.956 1.933 3.915
F 0.956 4.682 3.915
F 1.265 3.308 1.418
F 1.512 0.000 1.840
F 3.135 0.000 2.939
F 3.383 3.308 3.360
F 3.691 1.933 0.864
F 3.691 4.682 0.864
```

- Raw formation energy: -2878 meV per atom

***

3.
YThSn: optimized geometry, PBE-GGA.

Cell and atoms, written as extended XYZ:
```
6
Lattice="3.234 -3.234 0.000 3.234 3.234 0.000 -0.005 0.000 8.744" Properties=species:S:1:pos:R:3 pbc="T T T"
Y 1.614 0.000 1.261
Y 4.849 0.000 7.483
Th 3.231 1.617 4.372
Th 3.231 -1.617 4.372
Sn 1.615 0.000 6.865
Sn 4.847 0.000 1.879
```

- DOS at the Fermi energy: 1.15 states/eV per atom
- Distance to the lowest polymorph of the same formula: 0.044 eV/atom
- E_form: -0.4970 eV/atom

***

4.
YV2Co2: optimized geometry, PBE-GGA.

Cell and atoms, written as extended XYZ:
```
10
Lattice="7.275 0.000 0.000 0.000 7.275 0.000 0.000 0.000 2.805" Properties=species:S:1:pos:R:3 pbc="T T T"
Y 0.000 0.000 0.000
Y 3.637 3.637 0.000
V 1.119 2.519 1.402
V 2.519 6.156 1.402
V 4.756 1.119 1.402
V 6.156 4.756 1.402
Co 0.909 4.547 0.000
Co 2.728 0.909 0.000
Co 4.547 6.365 0.000
Co 6.365 2.728 0.000
```

- DOS at the Fermi energy: 1.23 states/eV per atom
- Distance to the lowest polymorph of the same formula: 0.304 eV/atom
- E_form: 0.1455 eV/atom

***

5.
Sc2Ga6Ru: optimized geometry, PBE-GGA.

Cell and atoms, written as extended XYZ:
```
9
Lattice="4.794 -2.769 0.000 4.794 2.769 0.000 -0.005 0.000 5.909" Properties=species:S:1:pos:R:3 pbc="T T T"
Sc 1.595 0.000 2.276
Sc 7.989 0.000 3.633
Ga 3.959 1.442 1.064
Ga 3.126 0.000 4.833
Ga 5.625 1.442 4.845
Ga 3.959 -1.442 1.064
Ga 6.458 0.000 1.076
Ga 5.625 -1.442 4.845
Ru 4.792 0.000 2.955
```

- DOS at the Fermi energy: 0.41 states/eV per atom
- E_form: -0.4305 eV/atom

***

6.
Cs2HgAsI6: optimized geometry, PBE-GGA.

Cell and atoms, written as extended XYZ:
```
10
Lattice="0.000 6.038 6.038 6.038 0.000 6.038 6.038 6.038 0.000" Properties=species:S:1:pos:R:3 pbc="T T T"
Cs 3.019 3.019 3.019
Cs 9.057 9.057 9.057
Hg 0.000 0.000 0.000
As 6.038 6.038 6.038
I 6.038 6.038 3.133
I 6.038 3.133 6.038
I 8.944 6.038 6.038
I 3.133 6.038 6.038
I 6.038 8.944 6.038
I 6.038 6.038 8.944
```

- DOS at the Fermi energy: 0.25 states/eV per atom
- Raw formation energy: -737 meV per atom

***

7.
K2OsNCl5: optimized geometry, PBE-GGA.

Cell and atoms, written as extended XYZ:
```
36
Lattice="13.623 0.000 0.000 0.000 9.971 0.000 0.000 0.000 7.095" Properties=species:S:1:pos:R:3 pbc="T T T"
K 2.042 9.967 1.139
K 2.042 4.989 1.139
K 4.769 0.004 4.686
K 4.769 4.982 4.686
K 8.853 9.967 2.408
K 8.853 4.989 2.408
K 11.581 0.004 5.956
K 11.581 4.982 5.956
Os 1.217 2.493 4.750
Os 5.594 7.478 1.203
Os 8.029 2.493 5.892
Os 12.406 7.478 2.345
N 0.065 7.478 3.396
N 6.746 2.493 6.943
N 6.877 7.478 0.151
N 13.557 2.493 3.699
Cl 0.009 2.493 6.799
Cl 1.431 0.129 4.930
Cl 1.431 4.856 4.930
Cl 2.919 2.493 3.070
Cl 3.346 2.493 6.362
Cl 3.465 7.478 2.815
Cl 3.892 7.478 6.618
Cl 5.381 5.115 1.383
Cl 5.381 9.842 1.383
Cl 6.802 7.478 3.252
Cl 6.821 2.493 3.842
Cl 8.242 0.129 5.711
Cl 8.242 4.856 5.711
Cl 9.730 2.493 0.477
Cl 10.158 2.493 4.280
Cl 10.276 7.478 0.733
Cl 10.704 7.478 4.024
Cl 12.192 5.115 2.164
Cl 12.192 9.842 2.164
Cl 13.614 7.478 0.295
```

- DOS at the Fermi energy: 0.00 states/eV per atom
- Raw formation energy: -999 meV per atom
- Distance to the lowest polymorph of the same formula: 0.000 eV/atom

***

8.
Pm2TlGa2: optimized geometry, PBE-GGA.

Cell and atoms, written as extended XYZ:
```
5
Lattice="2.163 -7.700 0.000 2.163 7.700 0.000 0.000 0.000 3.749" Properties=species:S:1:pos:R:3 pbc="T T T"
Pm 2.163 5.744 0.000
Pm 2.163 -5.744 0.000
Tl 2.163 0.000 1.874
Ga 2.163 3.145 1.874
Ga 2.163 -3.145 1.874
```

- DOS at the Fermi energy: 0.63 states/eV per atom
- Distance to the lowest polymorph of the same formula: 0.000 eV/atom
- E_form: -0.5475 eV/atom

***

no.,total DFT energy (no corrections) (eV/cell)
1,-52.16
2,-62.55
3,-38.76
4,-76.37
5,-43.97
6,-23.33
7,-159.88
8,-20.66